# 1
! SrPbAu2 (PBE, optimized geometry); values from VASP
&SYSTEM
  ibrav = 0, nat = 4, ntyp = 3
/
ATOMIC_SPECIES
Pb 207.20 Pb.upf
Sr 87.62 Sr.upf
Au 196.97 Au.upf
CELL_PARAMETERS angstrom
4.000 0.000 0.000
0.000 5.081 0.000
0.000 0.000 5.081
ATOMIC_POSITIONS crystal
Pb 0.500 0.000 0.000
Sr 0.500 0.500 0.500
Au 0.000 0.000 0.500
Au 0.000 0.500 0.000
! DFT formation energy in eV per atom: -0.452
! Magnetization in μB per formula unit: 0.00
! Density of states at the Fermi level in states/eV/f.u.: 2.02



# 2
! Pm2TmSn (PBE, optimized geometry); values from VASP
&SYSTEM
  ibrav = 0, nat = 4, ntyp = 3
/
ATOMIC_SPECIES
Tm 168.93 Tm.upf
Sn 118.71 Sn.upf
Pm 145.00 Pm.upf
CELL_PARAMETERS angstrom
-2.932 -1.876 4.233
2.493 -2.645 4.102
0.456 2.377 4.917
ATOMIC_POSITIONS crystal
Tm 0.500 0.500 0.500
Sn 0.000 0.000 0.000
Pm 0.250 0.250 0.250
Pm 0.750 0.750 0.750
! DFT formation energy in eV per atom: -0.263
! Magnetization in μB per formula unit: 0.00
! Density of states at the Fermi level in states/eV/f.u.: 6.34
! Relative energy among the computed polymorphs in eV/atom: 0.163



# 3
! ZnInGa4 (PBE, optimized geometry); values from VASP
&SYSTEM
  ibrav = 0, nat = 6, ntyp = 3
/
ATOMIC_SPECIES
Zn 65.41 Zn.upf
Ga 69.72 Ga.upf
In 114.82 In.upf
CELL_PARAMETERS angstrom
5.621 0.000 0.000
2.810 4.868 0.000
2.810 1.623 4.589
ATOMIC_POSITIONS crystal
Zn 0.000 0.000 0.000
Ga 0.626 0.626 0.123
Ga 0.626 0.123 0.626
Ga 0.626 0.626 0.626
Ga 0.123 0.626 0.626
In 0.250 0.250 0.250
! DFT formation energy in eV per atom: 0.136
! Magnetization in μB per formula unit: 0.00
! Density of states at the Fermi level in states/eV/f.u.: 3.96
! Relative energy among the computed polymorphs in eV/atom: 0.081



- What is the formula in the first record?
  SrPbAu2